Material: TbDyZnAu
Method: DFT, PBE-GGA
State: relaxed

Crystal system ... cubic
Fermi-level density of states ... 10.77 states/eV per cell
Uncorrected energy ... -4.038 eV per atom
Formation energy ... -0.59 eV per atom
Density ... 10.43 g cm⁻³
Total magnetic moment ... 0.00 μB per cell

abc: 7.190 7.190 7.190
angles: 90.00 90.00 90.00
Space group F-43m (No. 216)
Unique sites:
Tb 0.000 0.000 0.000 (multiplicity 4)
Dy 0.000 0.000 0.500 (multiplicity 4)
Zn 0.250 0.250 0.250 (multiplicity 4)
Au 0.250 0.250 0.750 (multiplicity 4)

---

Material: Sc2TaFeS
Method: DFT, PBE-GGA
State: relaxed

Crystal system ... tetragonal
Fermi-level density of states ... 6.73 states/eV per cell
Raw formation energy ... 388.0 kJ/mol of formula units
Uncorrected energy ... -6.617 eV per atom
Density ... 4.75 g cm⁻³
Total magnetic moment ... 3.06 μB per cell

abc: 5.239 5.239 4.573
angles: 90.00 90.00 90.00
Space group P4/mmm (No. 123)
Unique sites:
Sc 0.000 0.500 0.000 (multiplicity 2)
Ta 0.000 0.000 0.000 (multiplicity 1)
Fe 0.500 0.500 0.500 (multiplicity 1)
S 0.000 0.000 0.500 (multiplicity 1)

---

Material: Cr2CdS4
Method: DFT, PBE-GGA
State: relaxed

Crystal system ... cubic
Fermi-level density of states ... 0.67 states/eV per cell
Raw formation energy ... -472.2 kJ/mol of formula units
Uncorrected energy ... -5.938 eV per atom
Density ... 4.17 g cm⁻³
Total magnetic moment ... 48.00 μB per cell

abc: 10.313 10.313 10.313
angles: 90.00 90.00 90.00
Space group Fd-3m (No. 227, origin choice 2)
Unique sites:
Cr 0.000 0.000 0.000 (multiplicity 16)
Cd 0.125 0.125 0.625 (multiplicity 8)
S 0.016 0.016 0.234 (multiplicity 32)